# PBE TlBi12Pd4, relaxed
# energy relative to the elements	-0.16	eV/atom
# total energy	-72.51	eV per formula unit
data_TlBi12Pd4
_chemical_formula_sum 'Tl2 Bi24 Pd8'
_cell_length_a 9.993
_cell_length_b 9.993
_cell_length_c 9.993
_cell_angle_alpha 90.00
_cell_angle_beta 90.00
_cell_angle_gamma 90.00
_space_group_name_H-M_alt 'I m -3'
_space_group_IT_number 204
_space_group_name_Hall '-I 2 2 3'
loop_
_atom_site_label
_atom_site_type_symbol
_atom_site_fract_x
_atom_site_fract_y
_atom_site_fract_z
Tl1 Tl 0.000 0.000 0.000
Bi1 Bi 0.000 0.340 0.159
Pd1 Pd 0.250 0.250 0.250